Entry from the Alexandria database: BaTa3As after structural relaxation (PBE).

The structure belongs to space group Pm-3m (No. 221); the cell edges are 4.9675, 4.9675 and 4.9675 Å and the angles 90.00°, 90.00° and 90.00°. Symmetry generates all atoms from Ba at (0.0000, 0.0000, 0.0000), Ta at (0.0000, 0.5000, 0.5000) and As at (0.5000, 0.5000, 0.5000).

The value obtained for the formation energy is 96.1 kJ/mol of atoms. The calculation puts the density of states at the Fermi level at 9.3 states/eV/f.u. As for the offset from the most stable computed form: 0 meV/atom.